1.
{
  "formula": "KCoPd3",
  "functional": "PBE-GGA",
  "state": "optimized geometry",
  "lattice": [[4.916, 0.000, 0.000], [0.000, 4.916, 0.000], [0.000, 0.000, 4.916]],
  "species": ["Pd", "Co", "Pd", "Pd", "K"],
  "frac_coords": [[0.000, 0.500, 0.000], [0.500, 0.500, 0.500], [0.000, 0.000, 0.500], [0.500, 0.000, 0.000], [0.000, 0.000, 0.000]],
  "e_form_ev_per_atom": 1.80,
  "dos_at_fermi_per_ev_atom": 0.935,
  "e_above_lowest_polymorph_ev_per_fu": 6.68,
  "e_tot_ev_per_atom": -2.96
}

=====

2.
{
  "formula": "HgRuRh2N",
  "functional": "PBE-GGA",
  "state": "optimized geometry",
  "lattice": [[4.189, 0.000, 0.000], [0.000, 4.189, 0.000], [0.000, 0.000, 4.017]],
  "species": ["Rh", "Rh", "Hg", "N", "Ru"],
  "frac_coords": [[0.500, 0.000, 0.000], [0.000, 0.500, 0.000], [0.500, 0.500, 0.500], [0.000, 0.000, 0.000], [0.000, 0.000, 0.500]],
  "e_form_raw_ev_per_atom": 0.2328,
  "dos_at_fermi_per_ev_atom": 0.940,
  "e_tot_ev_per_atom": -6.29
}

=====

3.
{
  "formula": "Rb2YAgSn",
  "functional": "PBE-GGA",
  "state": "optimized geometry",
  "lattice": [[-4.453, 0.433, 5.556], [-3.991, -1.659, -3.069], [1.489, -6.761, 1.720]],
  "species": ["Y", "Sn", "Rb", "Ag", "Rb"],
  "frac_coords": [[0.000, 0.000, 0.000], [0.500, 0.500, 0.500], [0.000, 0.000, 0.500], [0.000, 0.500, 0.000], [0.500, 0.000, 0.000]],
  "e_form_ev_per_atom": 0.90,
  "dos_at_fermi_per_ev_atom": 0.959,
  "e_tot_ev_per_atom": -2.15
}

=====

4.
{
  "formula": "CuTe2IO",
  "functional": "PBE-GGA",
  "state": "optimized geometry",
  "lattice": [[-0.789, 3.770, 2.105], [-4.194, -0.159, -1.287], [-1.799, -3.920, 6.345]],
  "species": ["Te", "I", "Te", "Cu", "O"],
  "frac_coords": [[0.000, 0.500, 0.000], [0.000, 0.000, 0.500], [0.500, 0.000, 0.000], [0.500, 0.500, 0.500], [0.000, 0.000, 0.000]],
  "e_form_raw_ev_per_atom": 0.3304,
  "dos_at_fermi_per_ev_atom": 1.003,
  "e_above_lowest_polymorph_ev_per_fu": 0.00,
  "e_tot_ev_per_atom": -3.05
}

=====

5.
{
  "formula": "Pr4YAu5",
  "functional": "PBE-GGA",
  "state": "optimized geometry",
  "lattice": [[3.687, 0.000, 0.000], [0.000, 3.687, 0.000], [0.000, 0.000, 18.879]],
  "species": ["Au", "Y", "Au", "Pr", "Au", "Pr", "Pr", "Au", "Au", "Pr"],
  "frac_coords": [[0.500, 0.500, 0.298], [0.000, 0.000, 0.000], [0.500, 0.500, 0.910], [0.000, 0.000, 0.601], [0.500, 0.500, 0.702], [0.000, 0.000, 0.196], [0.000, 0.000, 0.399], [0.500, 0.500, 0.090], [0.500, 0.500, 0.500], [0.000, 0.000, 0.804]],
  "e_form_ev_per_atom": -0.77,
  "dos_at_fermi_per_ev_atom": 0.691,
  "e_tot_ev_per_atom": -4.96
}

=====

6.
{
  "formula": "Mg3BeBi",
  "functional": "PBE-GGA",
  "state": "optimized geometry",
  "lattice": [[4.846, 0.000, 0.000], [0.000, 4.846, 0.000], [0.000, 0.000, 4.846]],
  "species": ["Be", "Bi", "Mg", "Mg", "Mg"],
  "frac_coords": [[0.000, 0.000, 0.000], [0.500, 0.500, 0.500], [0.500, 0.000, 0.000], [0.000, 0.000, 0.500], [0.000, 0.500, 0.000]],
  "e_form_ev_per_atom": 0.22,
  "dos_at_fermi_per_ev_atom": 0.599,
  "e_above_lowest_polymorph_ev_per_fu": 0.00,
  "e_tot_ev_per_atom": -2.26
}

=====

7.
{
  "formula": "SrMgCdPb",
  "functional": "PBE-GGA",
  "state": "optimized geometry",
  "lattice": [[5.455, 0.000, 0.000], [2.727, 4.724, 0.000], [2.727, 1.575, 4.454]],
  "species": ["Sr", "Pb", "Cd", "Mg"],
  "frac_coords": [[0.500, 0.500, 0.500], [0.250, 0.250, 0.250], [0.750, 0.750, 0.750], [0.000, 0.000, 0.000]],
  "e_form_ev_per_atom": -0.30,
  "dos_at_fermi_per_ev_atom": 0.142,
  "e_tot_ev_per_atom": -2.27
}

=====

8.
{
  "formula": "LiAlI3",
  "functional": "PBE-GGA",
  "state": "optimized geometry",
  "lattice": [[-3.642, -0.147, -4.424], [-4.421, -0.177, 3.645], [-0.230, 5.728, -0.001]],
  "species": ["I", "Li", "I", "I", "Al"],
  "frac_coords": [[0.500, 0.000, 0.000], [0.500, 0.500, 0.500], [0.000, 0.500, 0.000], [0.000, 0.000, 0.500], [0.000, 0.000, 0.000]],
  "e_form_raw_ev_per_atom": -0.4586,
  "dos_at_fermi_per_ev_atom": 0.217,
  "e_tot_ev_per_atom": -2.52
}